No. 1
First-principles (PBE) data for a relaxed LiPrTmGa crystal, as listed in the Alexandria database.

Values from the calculation:
- total energy (eV per atom) = -3.84
- size of the total moment (μB per cell) = 0.00
- formation energy (eV per atom) = -0.291

Cell: 7.312 7.312 7.312 Å, 90.00 90.00 90.00°
Space group F-43m (No. 216)
Asymmetric unit:
Li 0.000 0.000 0.000 x4
Pr 0.250 0.250 0.250 x4
Tm 0.250 0.250 0.750 x4
Ga 0.000 0.000 0.500 x4

=====

No. 2
First-principles (PBE) data for a relaxed Li2PrY2Ga2 crystal, as listed in the Alexandria database.

Values from the calculation:
- total energy (eV per atom) = -4.23
- size of the total moment (μB per cell) = 0.00
- formation energy (eV per atom) = -0.292

Cell: 4.6659 4.6659 26.7573 Å, 90.00 90.00 120.00°
Space group R-3m (No. 166, hexagonal axes)
Asymmetric unit:
Li 0.0000 0.0000 0.0959 x6
Pr 0.0000 0.0000 0.5000 x3
Y 0.0000 0.0000 0.3726 x6
Ga 0.0000 0.0000 0.2425 x6

=====

No. 3
First-principles (PBE) data for a relaxed LiPrZn2Ga crystal, as listed in the Alexandria database.

Values from the calculation:
- total energy (eV per atom) = -2.80
- size of the total moment (μB per cell) = 0.00
- formation energy (eV per atom) = -0.344

Cell: 4.348 4.348 10.403 Å, 90.00 90.00 90.00°
Space group I-4m2 (No. 119)
Asymmetric unit:
Li 0.000 0.000 0.000 x2
Pr 0.000 0.500 0.750 x2
Zn 0.000 0.500 0.131 x4
Ga 0.000 0.000 0.500 x2

=====

No. 4
First-principles (PBE) data for a relaxed LiPrZnGa2 crystal, as listed in the Alexandria database.

Values from the calculation:
- total energy (eV per atom) = -3.26
- size of the total moment (μB per cell) = 0.00
- formation energy (eV per atom) = -0.459

Cell: 4.310 4.310 10.647 Å, 90.00 90.00 90.00°
Space group I-4m2 (No. 119)
Asymmetric unit:
Li 0.000 0.000 0.000 x2
Pr 0.000 0.500 0.750 x2
Zn 0.000 0.000 0.500 x2
Ga 0.000 0.500 0.133 x4

=====

No. 5
First-principles (PBE) data for a relaxed LiPrZn2Ga4 crystal, as listed in the Alexandria database.

Values from the calculation:
- total energy (eV per atom) = -2.95
- size of the total moment (μB per cell) = 0.00
- formation energy (eV per atom) = -0.286

Cell: 4.4286 4.4286 26.2422 Å, 90.00 90.00 120.00°
Space group R-3m (No. 166, hexagonal axes)
Asymmetric unit:
Li 0.0000 0.0000 0.0000 x3
Pr 0.0000 0.0000 0.5000 x3
Zn 0.0000 0.0000 0.2590 x6
Ga 0.0000 0.0000 0.1017 x6
Ga 0.0000 0.0000 0.3690 x6

=====

No. 6
First-principles (PBE) data for a relaxed LiPr2ZnGa6 crystal, as listed in the Alexandria database.

Values from the calculation:
- total energy (eV per atom) = -3.42
- size of the total moment (μB per cell) = 0.00
- formation energy (eV per atom) = -0.328

Cell: 6.3989 6.3989 34.6095 Å, 90.00 90.00 120.00°
Space group R-3m (No. 166, hexagonal axes)
Asymmetric unit:
Li 0.0000 0.0000 0.0000 x3
Li 0.0000 0.0000 0.5000 x3
Pr 0.0000 0.0000 0.1078 x6
Pr 0.0000 0.0000 0.2845 x6
Zn 0.0000 0.0000 0.4279 x6
Ga 0.0453 0.5226 0.2988 x18
Ga 0.0648 0.5324 0.8650 x18

=====

No. 7
First-principles (PBE) data for a relaxed LiPrZn4Ga2 crystal, as listed in the Alexandria database.

Values from the calculation:
- total energy (eV per atom) = -2.50
- size of the total moment (μB per cell) = 0.00
- formation energy (eV per atom) = -0.269

Cell: 4.3905 4.3905 25.4607 Å, 90.00 90.00 120.00°
Space group R-3m (No. 166, hexagonal axes)
Asymmetric unit:
Li 0.0000 0.0000 0.0000 x3
Pr 0.0000 0.0000 0.5000 x3
Zn 0.0000 0.0000 0.1006 x6
Zn 0.0000 0.0000 0.3670 x6
Ga 0.0000 0.0000 0.2567 x6

=====

No. 8
First-principles (PBE) data for a relaxed LiPrZrGa crystal, as listed in the Alexandria database.

Values from the calculation:
- total energy (eV per atom) = -4.73
- size of the total moment (μB per cell) = 0.00
- formation energy (eV per atom) = -0.163

Cell: 7.088 7.088 7.088 Å, 90.00 90.00 90.00°
Space group F-43m (No. 216)
Asymmetric unit:
Li 0.000 0.000 0.000 x4
Pr 0.250 0.250 0.750 x4
Zr 0.250 0.250 0.250 x4
Ga 0.000 0.000 0.500 x4

=====

No. 9
First-principles (PBE) data for a relaxed LiGa2Pt crystal, as listed in the Alexandria database.

Values from the calculation:
- ΔE to the lowest computed polymorph (meV/atom) = 165
- total energy (eV per atom) = -3.96
- size of the total moment (μB per cell) = 0.00
- formation energy (eV per atom) = -0.458

Cell: 7.789 4.498 4.781 Å, 90.00 91.68 90.00°
Space group Cm (No. 8)
Asymmetric unit:
Li 0.000 0.000 0.000 x2
Ga 0.167 0.500 0.447 x2
Ga 0.332 0.000 0.930 x2
Pt 0.166 0.500 0.947 x2

=====

No. 10
First-principles (PBE) data for a relaxed Li3Ga2Pt3 crystal, as listed in the Alexandria database.

Values from the calculation:
- total energy (eV per atom) = -4.44
- size of the total moment (μB per cell) = 0.00
- formation energy (eV per atom) = -0.705

Cell: 4.2844 4.2844 21.0551 Å, 90.00 90.00 120.00°
Space group R3m (No. 160, hexagonal axes)
Asymmetric unit:
Li 0.0000 0.0000 0.0000 x3
Li 0.0000 0.0000 0.1245 x3
Li 0.0000 0.0000 0.4981 x3
Ga 0.0000 0.0000 0.2496 x3
Ga 0.0000 0.0000 0.7490 x3
Pt 0.0000 0.0000 0.3752 x3
Pt 0.0000 0.0000 0.6236 x3
Pt 0.0000 0.0000 0.8734 x3

=====

No. 11
First-principles (PBE) data for a relaxed LiGa3Pt3 crystal, as listed in the Alexandria database.

Values from the calculation:
- ΔE to the lowest computed polymorph (meV/atom) = 0
- total energy (eV per atom) = -4.79
- size of the total moment (μB per cell) = 0.00
- formation energy (eV per atom) = -0.632

Cell: 6.8698 6.8698 16.7711 Å, 90.00 90.00 120.00°
Space group R-3 (No. 148, hexagonal axes)
Asymmetric unit:
Li 0.0000 0.0000 0.1603 x6
Ga 0.0188 0.4124 0.3867 x18
Pt 0.0083 0.2585 0.5663 x18

=====

No. 12
First-principles (PBE) data for a relaxed Li2Ga8Pt crystal, as listed in the Alexandria database.

Values from the calculation:
- ΔE to the lowest computed polymorph (meV/atom) = 0
- total energy (eV per atom) = -3.38
- size of the total moment (μB per cell) = 0.00
- formation energy (eV per atom) = -0.282

Cell: 4.204 4.204 10.832 Å, 90.00 90.00 90.00°
Space group P4/mmm (No. 123)
Asymmetric unit:
Li 0.000 0.000 0.182 x2
Ga 0.000 0.500 0.000 x2
Ga 0.000 0.500 0.362 x4
Ga 0.500 0.500 0.187 x2
Pt 0.000 0.000 0.500 x1

=====

No. 13
First-principles (PBE) data for a relaxed Li2Ga5Pt crystal, as listed in the Alexandria database.

Values from the calculation:
- total energy (eV per atom) = -3.44
- size of the total moment (μB per cell) = 0.00
- formation energy (eV per atom) = -0.317

Cell: 4.581 12.704 4.990 Å, 90.00 112.74 90.00°
Space group P2_1/m (No. 11)
Asymmetric unit:
Li 0.212 0.140 0.453 x4
Ga 0.070 0.589 0.149 x4
Ga 0.374 0.556 0.745 x4
Ga 0.492 0.750 0.044 x2
Pt 0.266 0.750 0.480 x2

=====

No. 14
First-principles (PBE) data for a relaxed LiGa3Pt2 crystal, as listed in the Alexandria database.

Values from the calculation:
- ΔE to the lowest computed polymorph (meV/atom) = 0
- total energy (eV per atom) = -4.42
- size of the total moment (μB per cell) = 0.00
- formation energy (eV per atom) = -0.574

Cell: 17.749 4.171 8.898 Å, 90.00 114.99 90.00°
Space group C2/m (No. 12)
Asymmetric unit:
Li 0.000 0.000 0.000 x2
Li 0.136 0.000 0.682 x4
Ga 0.000 0.500 0.500 x2
Ga 0.037 0.000 0.346 x4
Ga 0.103 0.500 0.140 x4
Ga 0.197 0.500 0.917 x4
Ga 0.213 0.000 0.361 x4
Pt 0.039 0.500 0.817 x4
Pt 0.137 0.500 0.445 x4
Pt 0.154 0.000 0.036 x4

=====

No. 15
First-principles (PBE) data for a relaxed LiGa7Pt4 crystal, as listed in the Alexandria database.

Values from the calculation:
- total energy (eV per atom) = -4.41
- size of the total moment (μB per cell) = 0.00
- formation energy (eV per atom) = -0.469

Cell: 12.715 4.393 9.483 Å, 90.00 129.38 90.00°
Space group C2/m (No. 12)
Asymmetric unit:
Li 0.000 0.000 0.000 x2
Ga 0.000 0.500 0.000 x2
Ga 0.088 0.000 0.342 x4
Ga 0.142 0.500 0.598 x4
Ga 0.205 0.000 0.869 x4
Pt 0.061 0.500 0.791 x4
Pt 0.215 0.500 0.320 x4

=====

No. 16
First-principles (PBE) data for a relaxed LiGa2Pt crystal, as listed in the Alexandria database.

Values from the calculation:
- ΔE to the lowest computed polymorph (meV/atom) = 134
- total energy (eV per atom) = -3.99
- size of the total moment (μB per cell) = 0.00
- formation energy (eV per atom) = -0.490

Cell: 3.982 3.982 3.741 Å, 90.00 90.00 90.00°
Space group P4/mmm (No. 123)
Asymmetric unit:
Li 0.000 0.000 0.000 x1
Ga 0.000 0.500 0.500 x2
Pt 0.500 0.500 0.000 x1

=====

No. 17
First-principles (PBE) data for a relaxed Li5Ga8Pt crystal, as listed in the Alexandria database.

Values from the calculation:
- total energy (eV per atom) = -3.08
- size of the total moment (μB per cell) = 0.00
- formation energy (eV per atom) = -0.238

Cell: 7.556 7.556 7.934 Å, 90.00 90.00 90.00°
Space group I-4 (No. 82)
Asymmetric unit:
Li 0.000 0.000 0.000 x2
Li 0.114 0.799 0.588 x8
Ga 0.064 0.664 0.933 x8
Ga 0.117 0.827 0.256 x8
Pt 0.000 0.500 0.250 x2

=====

No. 18
First-principles (PBE) data for a relaxed Li2Ga3Pt2 crystal, as listed in the Alexandria database.

Values from the calculation:
- ΔE to the lowest computed polymorph (meV/atom) = 0
- total energy (eV per atom) = -4.18
- size of the total moment (μB per cell) = 0.00
- formation energy (eV per atom) = -0.608

Cell: 9.336 3.956 6.758 Å, 90.00 109.53 90.00°
Space group C2/m (No. 12)
Asymmetric unit:
Li 0.157 0.000 0.300 x4
Ga 0.000 0.500 0.500 x2
Ga 0.130 0.500 0.962 x4
Pt 0.134 0.000 0.710 x4

=====

No. 19
First-principles (PBE) data for a relaxed LiGa2Pt crystal, as listed in the Alexandria database.

Values from the calculation:
- ΔE to the lowest computed polymorph (meV/atom) = 102
- total energy (eV per atom) = -4.02
- size of the total moment (μB per cell) = 0.00
- formation energy (eV per atom) = -0.521

Cell: 3.880 3.880 7.806 Å, 90.00 90.00 90.00°
Space group I-4m2 (No. 119)
Asymmetric unit:
Li 0.000 0.000 0.000 x2
Ga 0.000 0.000 0.500 x2
Ga 0.000 0.500 0.250 x2
Pt 0.000 0.500 0.750 x2

=====

No. 20
First-principles (PBE) data for a relaxed LiGa3Pt3 crystal, as listed in the Alexandria database.

Values from the calculation:
- ΔE to the lowest computed polymorph (meV/atom) = 381
- total energy (eV per atom) = -4.41
- size of the total moment (μB per cell) = 0.00
- formation energy (eV per atom) = -0.252

Cell: 6.903 6.903 6.903 Å, 90.00 90.00 90.00°
Space group Pm-3n (No. 223)
Asymmetric unit:
Li 0.000 0.000 0.000 x2
Ga 0.000 0.250 0.500 x6
Pt 0.000 0.500 0.250 x6